Here is CrInW2 at its PBEsol-relaxed geometry from Alexandria via LeMat-Bulk. Energies are from SCAN.

```
4
Lattice="2.912 0.000 0.000 0.000 2.912 0.000 0.000 0.000 7.457" Properties=species:S:1:pos:R:3 pbc="T T T"
Cr 0.000 0.000 0.000
In 0.000 0.000 3.728
W 1.456 1.456 1.504
W 1.456 1.456 5.953
```

Output
volume	15.81	A^3/atom
N(E_F)	0.6237	states/eV/atom
E	-47.353	eV per atom